Model A:
# Rb2LiPr2W4O16 PBE+U optimized geometry
data_Rb2LiPr2W4O16
_chemical_formula_sum 'Rb2 Li1 Pr2 W4 O16'
_symmetry_space_group_name_H-M 'P 1'
_symmetry_Int_Tables_number 1
_cell_length_a 7.594
_cell_length_b 7.626
_cell_length_c 8.146
_cell_angle_alpha 88.34
_cell_angle_beta 62.64
_cell_angle_gamma 62.47
loop_
_symmetry_equiv_pos_as_xyz
'x,y,z'
loop_
_atom_site_label
_atom_site_type_symbol
_atom_site_fract_x
_atom_site_fract_y
_atom_site_fract_z
Rb1 Rb 0.000 0.000 0.000
Rb2 Rb 0.426 0.474 0.694
Li1 Li 0.565 0.258 0.325
Pr1 Pr 0.462 0.007 0.054
Pr2 Pr 0.942 0.492 0.644
W1 W 0.396 0.564 0.154
W2 W 0.491 0.939 0.531
W3 W 0.897 0.538 0.170
W4 W 0.987 0.942 0.531
O1 O 0.074 0.286 0.193
O2 O 0.130 0.611 0.115
O3 O 0.172 0.623 0.437
O4 O 0.220 0.887 0.264
O5 O 0.262 0.877 0.584
O6 O 0.333 0.205 0.506
O7 O 0.416 0.995 0.779
O8 O 0.512 0.274 0.111
O9 O 0.557 0.628 0.929
O10 O 0.645 0.482 0.233
O11 O 0.656 0.847 0.236
O12 O 0.739 0.649 0.470
O13 O 0.757 0.011 0.465
O14 O 0.840 0.872 0.759
O15 O 0.893 0.207 0.617
O16 O 0.984 0.498 0.916
# Total magnetization, μB/atom: 0.040

***

Model B:
# Rb2LiPr2W4O16 PBE+U optimized geometry
data_Rb2LiPr2W4O16
_chemical_formula_sum 'Rb4 Li2 Pr4 W8 O32'
_symmetry_space_group_name_H-M 'C 1 2 1'
_symmetry_Int_Tables_number 5
_cell_length_a 10.859
_cell_length_b 11.407
_cell_length_c 7.514
_cell_angle_alpha 90.00
_cell_angle_beta 130.47
_cell_angle_gamma 90.00
loop_
_symmetry_equiv_pos_as_xyz
'x,y,z'
'-x,y,-z'
'x+1/2,y+1/2,z'
'-x+1/2,y+1/2,-z'
loop_
_atom_site_label
_atom_site_type_symbol
_atom_site_fract_x
_atom_site_fract_y
_atom_site_fract_z
Rb1 Rb 0.000 0.000 0.000
Rb2 Rb 0.000 0.461 0.500
Li1 Li 0.000 0.240 0.000
Pr1 Pr 0.000 0.018 0.500
Pr2 Pr 0.000 0.490 0.000
W1 W 0.200 0.737 0.958
W2 W 0.201 0.756 0.460
O1 O 0.024 0.645 0.233
O2 O 0.024 0.850 0.725
O3 O 0.122 0.332 0.936
O4 O 0.123 0.160 0.419
O5 O 0.201 0.803 0.205
O6 O 0.204 0.689 0.705
O7 O 0.220 0.401 0.386
O8 O 0.227 0.090 0.890
# Total magnetization, μB/atom: 0.040

***

Model C:
# Rb2LiPr2W4O16 PBE+U optimized geometry
data_Rb2LiPr2W4O16
_chemical_formula_sum 'Rb2 Li1 Pr2 W4 O16'
_symmetry_space_group_name_H-M 'P 1'
_symmetry_Int_Tables_number 1
_cell_length_a 7.604
_cell_length_b 7.721
_cell_length_c 8.138
_cell_angle_alpha 89.86
_cell_angle_beta 62.77
_cell_angle_gamma 63.04
loop_
_symmetry_equiv_pos_as_xyz
'x,y,z'
loop_
_atom_site_label
_atom_site_type_symbol
_atom_site_fract_x
_atom_site_fract_y
_atom_site_fract_z
Rb1 Rb 0.000 0.000 0.000
Rb2 Rb 0.493 0.361 0.675
Li1 Li 0.989 0.790 0.265
Pr1 Pr 0.504 0.903 0.089
Pr2 Pr 0.983 0.395 0.668
W1 W 0.038 0.840 0.584
W2 W 0.446 0.464 0.187
W3 W 0.538 0.854 0.567
W4 W 0.947 0.447 0.195
O1 O 0.033 0.387 0.942
O2 O 0.115 0.198 0.220
O3 O 0.181 0.518 0.137
O4 O 0.217 0.521 0.460
O5 O 0.253 0.781 0.285
O6 O 0.319 0.775 0.609
O7 O 0.365 0.102 0.541
O8 O 0.449 0.900 0.822
O9 O 0.543 0.197 0.113
O10 O 0.601 0.524 0.960
O11 O 0.674 0.414 0.253
O12 O 0.725 0.754 0.257
O13 O 0.784 0.552 0.491
O14 O 0.787 0.909 0.521
O15 O 0.888 0.760 0.807
O16 O 0.938 0.112 0.650
# Total magnetization, μB/atom: 0.040

***

Energy above the most stable structure, in eV/atom: model A 0.000; model B 0.035; model C 0.010